1.
KHgH2: optimized geometry, PBE.

Lattice parameters (Å, degrees): 4.588 4.588 4.588 60.00 60.00 60.00
Positions (direct):
K1 0.000 0.000 0.000
Hg1 0.500 0.500 0.500
H1 0.250 0.250 0.250
H2 0.750 0.750 0.750

Total DFT energy (no corrections): -6.8 eV/cell

2.
K3Hg5H12: optimized geometry, PBE.

Lattice parameters (Å, degrees): 11.677 11.677 11.677 109.47 109.47 109.47
Positions (direct):
K1 0.125 0.250 0.375
K2 0.125 0.375 0.750
K3 0.250 0.375 0.125
K4 0.250 0.875 0.625
K5 0.375 0.125 0.250
K6 0.375 0.750 0.125
K7 0.625 0.250 0.875
K8 0.625 0.875 0.750
K9 0.750 0.125 0.375
K10 0.750 0.625 0.875
K11 0.875 0.625 0.250
K12 0.875 0.750 0.625
Hg1 0.000 0.000 0.000
Hg2 0.000 0.000 0.500
Hg3 0.000 0.500 0.000
Hg4 0.000 0.500 0.500
Hg5 0.125 0.750 0.875
Hg6 0.125 0.875 0.250
Hg7 0.250 0.125 0.875
Hg8 0.250 0.625 0.375
Hg9 0.375 0.250 0.625
Hg10 0.375 0.625 0.750
Hg11 0.500 0.000 0.000
Hg12 0.500 0.000 0.500
Hg13 0.500 0.500 0.000
Hg14 0.500 0.500 0.500
Hg15 0.625 0.375 0.250
Hg16 0.625 0.750 0.375
Hg17 0.750 0.375 0.625
Hg18 0.750 0.875 0.125
Hg19 0.875 0.125 0.750
Hg20 0.875 0.250 0.125
H1 0.002 0.683 0.107
H2 0.002 0.819 0.895
H3 0.076 0.681 0.683
H4 0.076 0.895 0.393
H5 0.105 0.607 0.924
H6 0.105 0.998 0.181
H7 0.107 0.002 0.683
H8 0.107 0.605 0.424
H9 0.181 0.105 0.998
H10 0.181 0.576 0.183
H11 0.183 0.181 0.576
H12 0.183 0.502 0.607
H13 0.317 0.893 0.998
H14 0.317 0.924 0.319
H15 0.319 0.317 0.924
H16 0.319 0.502 0.395
H17 0.393 0.076 0.895
H18 0.393 0.817 0.498
H19 0.395 0.319 0.502
H20 0.395 0.576 0.893
H21 0.424 0.107 0.605
H22 0.424 0.817 0.819
H23 0.498 0.393 0.817
H24 0.498 0.605 0.681
H25 0.502 0.395 0.319
H26 0.502 0.607 0.183
H27 0.576 0.183 0.181
H28 0.576 0.893 0.395
H29 0.605 0.424 0.107
H30 0.605 0.681 0.498
H31 0.607 0.183 0.502
H32 0.607 0.924 0.105
H33 0.681 0.498 0.605
H34 0.681 0.683 0.076
H35 0.683 0.076 0.681
H36 0.683 0.107 0.002
H37 0.817 0.498 0.393
H38 0.817 0.819 0.424
H39 0.819 0.424 0.817
H40 0.819 0.895 0.002
H41 0.893 0.395 0.576
H42 0.893 0.998 0.317
H43 0.895 0.002 0.819
H44 0.895 0.393 0.076
H45 0.924 0.105 0.607
H46 0.924 0.319 0.317
H47 0.998 0.181 0.105
H48 0.998 0.317 0.893

Total DFT energy (no corrections): -168.2 eV/cell

3.
K2HgH2: optimized geometry, PBE.

Lattice parameters (Å, degrees): 8.361 8.361 3.486 90.00 90.00 90.00
Positions (direct):
K1 0.140 0.360 0.000
K2 0.360 0.860 0.000
K3 0.640 0.140 0.000
K4 0.860 0.640 0.000
Hg1 0.000 0.000 0.000
Hg2 0.500 0.500 0.000
H1 0.146 0.646 0.500
H2 0.354 0.146 0.500
H3 0.646 0.854 0.500
H4 0.854 0.354 0.500

Total DFT energy (no corrections): -18.5 eV/cell

4.
KHg2MoH: optimized geometry, PBE.

Lattice parameters (Å, degrees): 5.621 5.621 3.748 90.00 90.00 90.00
Positions (direct):
K1 0.000 0.000 0.000
Hg1 0.000 0.500 0.500
Hg2 0.500 0.000 0.500
Mo1 0.500 0.500 0.500
H1 0.500 0.500 0.000

Total DFT energy (no corrections): -13.8 eV/cell

5.
K2NaHgH: optimized geometry, PBE.

Lattice parameters (Å, degrees): 5.553 5.553 4.921 90.00 90.00 90.00
Positions (direct):
K1 0.000 0.500 0.000
K2 0.500 0.000 0.000
Na1 0.000 0.000 0.500
Hg1 0.500 0.500 0.500
H1 0.000 0.000 0.000

Total DFT energy (no corrections): -7.6 eV/cell

6.
K2NaHgH: optimized geometry, PBE.

Lattice parameters (Å, degrees): 5.283 5.283 5.941 90.00 90.00 90.00
Positions (direct):
K1 0.000 0.500 0.000
K2 0.500 0.000 0.000
Na1 0.000 0.000 0.500
Hg1 0.500 0.500 0.500
H1 0.500 0.500 0.000

Total DFT energy (no corrections): -7.3 eV/cell

7.
KHgHO2: optimized geometry, PBE.

Lattice parameters (Å, degrees): 6.660 6.660 4.076 90.00 90.00 116.97
Positions (direct):
K1 0.250 0.750 0.751
K2 0.750 0.250 0.249
Hg1 0.250 0.250 0.000
Hg2 0.750 0.750 0.000
H1 0.000 0.000 0.500
H2 0.500 0.500 0.500
O1 0.081 0.919 0.293
O2 0.419 0.581 0.293
O3 0.581 0.419 0.707
O4 0.919 0.081 0.707

Total DFT energy (no corrections): -37.3 eV/cell

8.
KHgHO: optimized geometry, PBE.

Lattice parameters (Å, degrees): 3.854 6.963 6.963 32.07 90.00 90.00
Positions (direct):
K1 0.000 0.000 0.000
Hg1 0.500 0.727 0.727
H1 0.500 0.402 0.402
O1 0.500 0.475 0.475

Total DFT energy (no corrections): -13.4 eV/cell

9.
K6Hg2HO: optimized geometry, PBE.

Lattice parameters (Å, degrees): 7.842 7.842 7.853 119.92 119.92 89.96
Positions (direct):
K1 0.237 0.237 0.475
K2 0.238 0.238 0.000
K3 0.238 0.762 0.000
K4 0.762 0.238 0.000
K5 0.762 0.762 0.000
K6 0.763 0.763 0.525
Hg1 0.251 0.749 0.500
Hg2 0.749 0.251 0.500
H1 0.500 0.500 0.000
O1 0.000 0.000 0.000

Total DFT energy (no corrections): -19.5 eV/cell

10.
KHgH2Pb: optimized geometry, PBE.

Lattice parameters (Å, degrees): 4.446 4.446 6.985 90.00 90.00 90.00
Positions (direct):
K1 0.000 0.000 0.000
Hg1 0.500 0.500 0.000
H1 0.000 0.500 0.500
H2 0.500 0.000 0.500
Pb1 0.000 0.000 0.500

Total DFT energy (no corrections): -9.9 eV/cell

11.
K2HgHPb: optimized geometry, PBE.

Lattice parameters (Å, degrees): 5.578 5.578 4.717 90.00 90.00 90.00
Positions (direct):
K1 0.000 0.500 0.000
K2 0.500 0.000 0.000
Hg1 0.000 0.000 0.500
H1 0.500 0.500 0.000
Pb1 0.500 0.500 0.500

Total DFT energy (no corrections): -9.7 eV/cell

12.
K2HgH3Pd: optimized geometry, PBE.

Lattice parameters (Å, degrees): 7.775 7.775 7.775 150.56 140.31 50.18
Positions (direct):
K1 0.174 0.174 0.000
K2 0.826 0.826 0.000
Hg1 0.000 0.500 0.500
H1 0.377 0.377 0.000
H2 0.500 0.000 0.500
H3 0.623 0.623 0.000
Pd1 0.500 0.500 0.000

Total DFT energy (no corrections): -17.8 eV/cell